[1]
# PBEsol Li2GeBi, optimized geometry
data_Li2GeBi
_chemical_formula_sum 'Li8 Ge4 Bi4'
_cell_length_a 6.7345
_cell_length_b 6.7345
_cell_length_c 6.7345
_cell_angle_alpha 90.00
_cell_angle_beta 90.00
_cell_angle_gamma 90.00
_space_group_name_H-M_alt 'F m -3 m'
_space_group_IT_number 225
_space_group_name_Hall '-F 4 2 3'
loop_
_atom_site_label
_atom_site_fract_x
_atom_site_fract_y
_atom_site_fract_z
_atom_site_occupancy
Li1 0.2500 0.2500 0.2500 1
Ge1 0.0000 0.0000 0.0000 1
Bi1 0.0000 0.0000 0.5000 1
# * formation energy: -0.280 eV per atom
# * total energy: -3.570 eV/atom

***

[2]
# PBEsol MnZn2Hg, optimized geometry
data_MnZn2Hg
_chemical_formula_sum 'Mn1 Zn2 Hg1'
_cell_length_a 2.9300
_cell_length_b 2.9300
_cell_length_c 7.1415
_cell_angle_alpha 90.00
_cell_angle_beta 90.00
_cell_angle_gamma 90.00
_space_group_name_H-M_alt 'P 4 m m'
_space_group_IT_number 99
loop_
_space_group_symop_operation_xyz
'x,y,z'
'-y,x,z'
'-x,-y,z'
'y,-x,z'
'-x,y,z'
'y,x,z'
'x,-y,z'
'-y,-x,z'
loop_
_atom_site_label
_atom_site_fract_x
_atom_site_fract_y
_atom_site_fract_z
_atom_site_occupancy
Mn1 0.0000 0.0000 0.0000 1
Zn1 0.0000 0.0000 0.4442 1
Zn2 0.5000 0.5000 0.2173 1
Hg1 0.5000 0.5000 0.7288 1
# * formation energy: 0.169 eV per atom
# * total energy: -3.204 eV/atom